DFT (SCAN) results for NiOs3I at its PBEsol-relaxed geometry.

Its density is 14.2 Mg/m³. Its total energy is -51.3203 eV per atom.

Cell and atoms, written as CIF:
```
data_NiOs3I
_symmetry_space_group_name_H-M 'P 1'
_symmetry_Int_Tables_number 1
_cell_length_a 4.4542
_cell_length_b 4.4542
_cell_length_c 4.4542
_cell_angle_alpha 90.00
_cell_angle_beta 90.00
_cell_angle_gamma 90.00
loop_
_symmetry_equiv_pos_as_xyz
'x,y,z'
loop_
_atom_site_label
_atom_site_fract_x
_atom_site_fract_y
_atom_site_fract_z
Ni1 0.0000 0.0000 0.0000
Os1 0.0000 0.0000 0.5000
Os2 0.0000 0.5000 0.0000
Os3 0.5000 0.0000 0.0000
I1 0.5000 0.5000 0.5000
```